{
  "formula": "AcLaPm2",
  "functional": "GGA-PBE",
  "state": "relaxed",
  "lattice": [[0.0000, 4.2319, 4.2319], [4.2319, 0.0000, 4.2319], [4.2319, 4.2319, 0.0000]],
  "species": ["Ac", "La", "Pm", "Pm"],
  "fractional_positions": [[0.0000, 0.0000, 0.0000], [0.5000, 0.5000, 0.5000], [0.2500, 0.2500, 0.2500], [0.7500, 0.7500, 0.7500]],
  "magmom_total_mub_per_fu": 0.00,
  "polymorph_energy_mev_per_atom": 96,
  "e_tot_ev_per_atom": -4.516,
  "volume_a3_per_cell": 151.6
}

=====

{
  "formula": "Ac8LaPm3",
  "functional": "GGA-PBE",
  "state": "relaxed",
  "lattice": [[-3.6886, 5.8488, 6.3445], [3.6886, -5.8488, 6.3445], [3.6886, 5.8488, -6.3445]],
  "species": ["Ac", "Ac", "Ac", "Ac", "Ac", "Ac", "Ac", "Ac", "La", "Pm", "Pm", "Pm"],
  "fractional_positions": [[0.0865, 0.2494, 0.8371], [0.2680, 0.2351, 0.5031], [0.2680, 0.7649, 0.0328], [0.4123, 0.2494, 0.1629], [0.5877, 0.7506, 0.8371], [0.7320, 0.2351, 0.9672], [0.7320, 0.7649, 0.4969], [0.9135, 0.7506, 0.1629], [0.0000, 0.0000, 0.0000], [0.2854, 0.7854, 0.5000], [0.5000, 0.5000, 0.0000], [0.7146, 0.2146, 0.5000]],
  "magmom_total_mub_per_fu": 0.00,
  "e_tot_ev_per_atom": -3.984,
  "volume_a3_per_cell": 547.5
}

=====

{
  "formula": "Ac8La6Pm",
  "functional": "GGA-PBE",
  "state": "relaxed",
  "lattice": [[10.1638, 0.0000, 0.0000], [-5.0819, 8.8021, 0.0000], [0.0000, 0.0000, 7.2253]],
  "species": ["Ac", "Ac", "Ac", "Ac", "Ac", "Ac", "Ac", "Ac", "La", "La", "La", "La", "La", "La", "Pm"],
  "fractional_positions": [[0.0319, 0.3358, 0.1169], [0.3038, 0.9681, 0.1169], [0.3333, 0.6667, 0.7802], [0.3358, 0.3038, 0.8831], [0.6642, 0.6962, 0.1169], [0.6667, 0.3333, 0.2198], [0.6962, 0.0319, 0.8831], [0.9681, 0.6642, 0.8831], [0.0555, 0.6688, 0.3975], [0.3312, 0.3867, 0.3975], [0.3867, 0.0555, 0.6025], [0.6133, 0.9445, 0.3975], [0.6688, 0.6133, 0.6025], [0.9445, 0.3312, 0.6025], [0.0000, 0.0000, 0.5000]],
  "magmom_total_mub_per_fu": 0.00,
  "e_tot_ev_per_atom": -4.273,
  "volume_a3_per_cell": 646.4
}

=====

{
  "formula": "Ac2LaPm7",
  "functional": "GGA-PBE",
  "state": "relaxed",
  "lattice": [[6.1817, -8.8561, 0.0000], [6.1817, 8.8561, 0.0000], [0.0000, 0.0000, 3.6229]],
  "species": ["Ac", "Ac", "La", "Pm", "Pm", "Pm", "Pm", "Pm", "Pm", "Pm"],
  "fractional_positions": [[0.1785, 0.8215, 0.0000], [0.8215, 0.1785, 0.0000], [0.0000, 0.0000, 0.5000], [0.1406, 0.3835, 0.0000], [0.3395, 0.6605, 0.5000], [0.3835, 0.1406, 0.0000], [0.5000, 0.5000, 0.0000], [0.6165, 0.8594, 0.0000], [0.6605, 0.3395, 0.5000], [0.8594, 0.6165, 0.0000]],
  "magmom_total_mub_per_fu": 0.00,
  "e_tot_ev_per_atom": -4.212,
  "volume_a3_per_cell": 396.7
}

=====

{
  "formula": "AcLa5Pm",
  "functional": "GGA-PBE",
  "state": "relaxed",
  "lattice": [[4.5248, -5.1747, 0.0000], [4.5248, 5.1747, 0.0000], [-3.9497, 0.0000, 11.3697]],
  "species": ["Ac", "Ac", "La", "La", "La", "La", "La", "La", "La", "La", "La", "La", "Pm", "Pm"],
  "fractional_positions": [[0.0000, 0.5000, 0.0000], [0.5000, 0.0000, 0.5000], [0.0685, 0.2784, 0.5354], [0.0862, 0.9138, 0.2500], [0.2784, 0.0685, 0.0354], [0.3057, 0.4456, 0.3314], [0.4456, 0.3057, 0.8314], [0.5544, 0.6943, 0.1686], [0.6943, 0.5544, 0.6686], [0.7216, 0.9315, 0.9646], [0.9138, 0.0862, 0.7500], [0.9315, 0.7216, 0.4646], [0.2543, 0.7457, 0.7500], [0.7457, 0.2543, 0.2500]],
  "magmom_total_mub_per_fu": 0.00,
  "e_tot_ev_per_atom": -4.715,
  "volume_a3_per_cell": 532.4
}

=====

{
  "formula": "Ac7LaPm4",
  "functional": "GGA-PBE",
  "state": "relaxed",
  "lattice": [[6.7568, 0.0000, 0.0000], [-0.0049, 7.7386, 0.0000], [-2.2190, -0.0494, 9.3713]],
  "species": ["Ac", "Ac", "Ac", "Ac", "Ac", "Ac", "Ac", "La", "Pm", "Pm", "Pm", "Pm"],
  "fractional_positions": [[0.0000, 0.0000, 0.0000], [0.2207, 0.4990, 0.6673], [0.2830, 0.7562, 0.3377], [0.4980, 0.2480, 0.0049], [0.5020, 0.7520, 0.9951], [0.7170, 0.2438, 0.6623], [0.7793, 0.5010, 0.3327], [0.0000, 0.5000, 0.0000], [0.2157, 0.9996, 0.6651], [0.2739, 0.2477, 0.3321], [0.7261, 0.7523, 0.6679], [0.7843, 0.0004, 0.3349]],
  "magmom_total_mub_per_fu": 0.00,
  "e_tot_ev_per_atom": -4.359,
  "volume_a3_per_cell": 490.0
}

=====

{
  "formula": "Ac2La3Pm4",
  "functional": "GGA-PBE",
  "state": "relaxed",
  "lattice": [[6.5513, 0.0000, 0.0000], [0.0303, 9.7520, 0.0000], [3.2400, 3.6194, 10.6898]],
  "species": ["Ac", "Ac", "Ac", "Ac", "La", "La", "La", "La", "La", "La", "Pm", "Pm", "Pm", "Pm", "Pm", "Pm", "Pm", "Pm"],
  "fractional_positions": [[0.1693, 0.2545, 0.0018], [0.2851, 0.0303, 0.7733], [0.7149, 0.9697, 0.2267], [0.8307, 0.7455, 0.9982], [0.0576, 0.4736, 0.2262], [0.2784, 0.8559, 0.1157], [0.3841, 0.8003, 0.5603], [0.6159, 0.1997, 0.4397], [0.7216, 0.1441, 0.8843], [0.9424, 0.5264, 0.7738], [0.0514, 0.3070, 0.5552], [0.1652, 0.0847, 0.3406], [0.3952, 0.6372, 0.8853], [0.4946, 0.5766, 0.3405], [0.5054, 0.4234, 0.6595], [0.6048, 0.3628, 0.1147], [0.8348, 0.9153, 0.6594], [0.9486, 0.6930, 0.4448]],
  "magmom_total_mub_per_fu": 0.00,
  "polymorph_energy_mev_per_atom": 0,
  "e_tot_ev_per_atom": -4.624,
  "volume_a3_per_cell": 683.0
}

=====

{
  "formula": "Ac12La3Pm",
  "functional": "GGA-PBE",
  "state": "relaxed",
  "lattice": [[5.5574, 0.0000, 0.0000], [0.0000, 5.5574, 0.0000], [0.0000, 0.0000, 22.1785]],
  "species": ["Ac", "Ac", "Ac", "Ac", "Ac", "Ac", "Ac", "Ac", "Ac", "Ac", "Ac", "Ac", "La", "La", "La", "Pm"],
  "fractional_positions": [[0.0000, 0.0000, 0.0000], [0.0000, 0.0000, 0.2489], [0.0000, 0.0000, 0.5000], [0.0000, 0.0000, 0.7511], [0.0000, 0.5000, 0.1238], [0.0000, 0.5000, 0.3747], [0.0000, 0.5000, 0.6253], [0.0000, 0.5000, 0.8762], [0.5000, 0.0000, 0.1238], [0.5000, 0.0000, 0.3747], [0.5000, 0.0000, 0.6253], [0.5000, 0.0000, 0.8762], [0.5000, 0.5000, 0.2492], [0.5000, 0.5000, 0.5000], [0.5000, 0.5000, 0.7508], [0.5000, 0.5000, 0.0000]],
  "magmom_total_mub_per_fu": 0.00,
  "e_tot_ev_per_atom": -4.283,
  "volume_a3_per_cell": 685.0
}

=====

{
  "formula": "Ac2La2Pm3",
  "functional": "GGA-PBE",
  "state": "relaxed",
  "lattice": [[5.9324, 0.0000, 0.0000], [0.0000, 3.6520, 0.0000], [-2.9528, 0.0000, 12.3744]],
  "species": ["Ac", "Ac", "La", "La", "Pm", "Pm", "Pm"],
  "fractional_positions": [[0.0769, 0.0000, 0.1541], [0.9231, 0.0000, 0.8459], [0.3539, 0.5000, 0.7060], [0.6461, 0.5000, 0.2940], [0.2182, 0.0000, 0.4371], [0.5000, 0.0000, 0.0000], [0.7818, 0.0000, 0.5629]],
  "magmom_total_mub_per_fu": 0.00,
  "polymorph_energy_mev_per_atom": 27,
  "e_tot_ev_per_atom": -4.489,
  "volume_a3_per_cell": 268.1
}

=====

{
  "formula": "AcLa2Pm",
  "functional": "GGA-PBE",
  "state": "relaxed",
  "lattice": [[1.9007, 1.0973, 12.3272], [-1.9007, 1.0973, 12.3272], [0.0000, -2.1947, 12.3272]],
  "species": ["Ac", "La", "La", "Pm"],
  "fractional_positions": [[0.0000, 0.0000, 0.0000], [0.2463, 0.2463, 0.2463], [0.4190, 0.4190, 0.4190], [0.8325, 0.8325, 0.8325]],
  "magmom_total_mub_per_fu": 0.00,
  "polymorph_energy_mev_per_atom": 18,
  "e_tot_ev_per_atom": -4.646,
  "volume_a3_per_cell": 154.2
}